The following is a PBE with a Hubbard U calculation of crystalline FeRu2IF at its relaxed geometry, from Alexandria. Values from VASP.

The calculation puts the uncorrected energy at -20.0 eV/cell. The density of states at the Fermi level is 3.7 states/eV per cell.

Cell and atoms, written as Quantum ESPRESSO input:
```
&SYSTEM
  ibrav = 0, nat = 5, ntyp = 4
/
ATOMIC_SPECIES
Fe 55.84 Fe.upf
Ru 101.07 Ru.upf
I 126.90 I.upf
F 19.00 F.upf
CELL_PARAMETERS angstrom
4.8756 0.0000 0.0000
0.0000 4.8756 0.0000
0.0000 0.0000 5.2761
ATOMIC_POSITIONS angstrom
Fe 0.0000 0.0000 0.0000
Ru 0.0000 2.4378 2.6381
Ru 2.4378 0.0000 2.6381
I 0.0000 0.0000 2.6381
F 2.4378 2.4378 0.0000
```